# 1
{
  "formula": "PmSm5Er4",
  "functional": "GGA-PBE",
  "state": "relaxed",
  "formation_enthalpy_0k_kj_per_mol_fu": 283,
  "rho_g_cm3": 7.85,
  "volume_a3_per_fu": 331.3,
  "crystal_system": "tetragonal",
  "energy_ev_per_atom": -4.366,
  "lattice_angstrom": [[-5.119, 5.119, 3.160], [5.119, -5.119, 3.160], [5.119, 5.119, -3.160]],
  "species": ["Pm", "Sm", "Sm", "Sm", "Sm", "Sm", "Er", "Er", "Er", "Er"],
  "fractional_positions": [[0.000, 0.000, 0.000], [0.037, 0.124, 0.619], [0.124, 0.505, 0.087], [0.418, 0.037, 0.913], [0.505, 0.418, 0.381], [0.543, 0.543, 0.000], [0.119, 0.820, 0.397], [0.422, 0.722, 0.603], [0.722, 0.119, 0.299], [0.820, 0.422, 0.701]]
}

# 2
{
  "formula": "Pm3Sm5Er2",
  "functional": "GGA-PBE",
  "state": "relaxed",
  "formation_enthalpy_0k_kj_per_mol_fu": 179,
  "rho_g_cm3": 7.44,
  "volume_a3_per_fu": 339.4,
  "crystal_system": "monoclinic",
  "energy_ev_per_atom": -4.511,
  "relative_energy_ev_per_fu": 0.000,
  "lattice_angstrom": [[5.409, -7.640, 0.000], [5.409, 7.640, 0.000], [-5.367, 0.000, 8.212]],
  "species": ["Pm", "Pm", "Pm", "Pm", "Pm", "Pm", "Sm", "Sm", "Sm", "Sm", "Sm", "Sm", "Sm", "Sm", "Sm", "Sm", "Er", "Er", "Er", "Er"],
  "fractional_positions": [[0.019, 0.271, 0.052], [0.229, 0.771, 0.750], [0.271, 0.019, 0.552], [0.729, 0.981, 0.448], [0.771, 0.229, 0.250], [0.981, 0.729, 0.948], [0.021, 0.979, 0.750], [0.143, 0.387, 0.775], [0.273, 0.727, 0.250], [0.387, 0.143, 0.275], [0.473, 0.527, 0.250], [0.527, 0.473, 0.750], [0.613, 0.857, 0.725], [0.727, 0.273, 0.750], [0.857, 0.613, 0.225], [0.979, 0.021, 0.250], [0.221, 0.466, 0.450], [0.466, 0.221, 0.950], [0.534, 0.779, 0.050], [0.779, 0.534, 0.550]]
}

# 3
{
  "formula": "Pm5Sm4Er",
  "functional": "GGA-PBE",
  "state": "relaxed",
  "formation_enthalpy_0k_kj_per_mol_fu": 230,
  "rho_g_cm3": 7.19,
  "volume_a3_per_fu": 344.8,
  "crystal_system": "tetragonal",
  "energy_ev_per_atom": -4.480,
  "relative_energy_ev_per_fu": 2.239,
  "lattice_angstrom": [[-5.289, 5.289, 3.081], [5.289, -5.289, 3.081], [5.289, 5.289, -3.081]],
  "species": ["Pm", "Pm", "Pm", "Pm", "Pm", "Sm", "Sm", "Sm", "Sm", "Er"],
  "fractional_positions": [[0.000, 0.000, 0.000], [0.085, 0.085, 0.622], [0.085, 0.463, 0.001], [0.462, 0.085, 0.999], [0.463, 0.462, 0.378], [0.072, 0.748, 0.325], [0.423, 0.747, 0.675], [0.747, 0.072, 0.324], [0.748, 0.423, 0.676], [0.533, 0.533, 0.000]]
}

# 4
{
  "formula": "Pm2Sm5Er6",
  "functional": "GGA-PBE",
  "state": "relaxed",
  "formation_enthalpy_0k_kj_per_mol_fu": 121,
  "rho_g_cm3": 7.96,
  "volume_a3_per_fu": 426.9,
  "crystal_system": "orthorhombic",
  "energy_ev_per_atom": -4.555,
  "lattice_angstrom": [[11.676, 0.000, 0.000], [0.000, 20.410, 0.000], [0.000, 0.000, 3.583]],
  "species": ["Pm", "Pm", "Pm", "Pm", "Sm", "Sm", "Sm", "Sm", "Sm", "Sm", "Sm", "Sm", "Sm", "Sm", "Er", "Er", "Er", "Er", "Er", "Er", "Er", "Er", "Er", "Er", "Er", "Er"],
  "fractional_positions": [[0.171, 0.214, 0.000], [0.329, 0.714, 0.000], [0.671, 0.286, 0.000], [0.829, 0.786, 0.000], [0.000, 0.500, 0.500], [0.087, 0.776, 0.500], [0.200, 0.050, 0.500], [0.300, 0.550, 0.500], [0.413, 0.276, 0.500], [0.500, 0.000, 0.500], [0.587, 0.724, 0.500], [0.700, 0.450, 0.500], [0.800, 0.950, 0.500], [0.913, 0.224, 0.500], [0.060, 0.921, 0.000], [0.078, 0.633, 0.000], [0.178, 0.368, 0.500], [0.322, 0.868, 0.500], [0.422, 0.133, 0.000], [0.440, 0.421, 0.000], [0.560, 0.579, 0.000], [0.578, 0.867, 0.000], [0.678, 0.132, 0.500], [0.822, 0.632, 0.500], [0.922, 0.367, 0.000], [0.940, 0.079, 0.000]]
}

# 5
{
  "formula": "PmSm10Er4",
  "functional": "GGA-PBE",
  "state": "relaxed",
  "formation_enthalpy_0k_kj_per_mol_fu": 457,
  "rho_g_cm3": 7.58,
  "volume_a3_per_fu": 507.6,
  "crystal_system": "tetragonal",
  "energy_ev_per_atom": -4.364,
  "lattice_angstrom": [[-4.891, 4.891, 5.306], [4.891, -4.891, 5.306], [4.891, 4.891, -5.306]],
  "species": ["Pm", "Sm", "Sm", "Sm", "Sm", "Sm", "Sm", "Sm", "Sm", "Sm", "Sm", "Er", "Er", "Er", "Er"],
  "fractional_positions": [[0.000, 0.000, 0.000], [0.129, 0.457, 0.900], [0.229, 0.129, 0.672], [0.250, 0.750, 0.500], [0.443, 0.771, 0.900], [0.457, 0.557, 0.328], [0.543, 0.443, 0.672], [0.557, 0.229, 0.100], [0.750, 0.250, 0.500], [0.771, 0.871, 0.328], [0.871, 0.543, 0.100], [0.064, 0.335, 0.400], [0.335, 0.936, 0.271], [0.665, 0.064, 0.729], [0.936, 0.665, 0.600]]
}

# 6
{
  "formula": "Pm8Sm3Er2",
  "functional": "GGA-PBE",
  "state": "relaxed",
  "formation_enthalpy_0k_kj_per_mol_fu": 201,
  "rho_g_cm3": 7.30,
  "volume_a3_per_fu": 442.5,
  "crystal_system": "monoclinic",
  "energy_ev_per_atom": -4.554,
  "relative_energy_ev_per_fu": 0.000,
  "lattice_angstrom": [[6.579, -5.907, 0.000], [6.579, 5.907, 0.000], [-2.475, 0.000, 5.693]],
  "species": ["Pm", "Pm", "Pm", "Pm", "Pm", "Pm", "Pm", "Pm", "Sm", "Sm", "Sm", "Er", "Er"],
  "fractional_positions": [[0.055, 0.055, 0.285], [0.072, 0.584, 0.829], [0.347, 0.347, 0.449], [0.416, 0.928, 0.171], [0.584, 0.072, 0.829], [0.653, 0.653, 0.551], [0.928, 0.416, 0.171], [0.945, 0.945, 0.715], [0.255, 0.745, 0.500], [0.500, 0.500, 0.000], [0.745, 0.255, 0.500], [0.212, 0.212, 0.855], [0.788, 0.788, 0.145]]
}

# 7
{
  "formula": "Pm3Sm4Er4",
  "functional": "GGA-PBE",
  "state": "relaxed",
  "formation_enthalpy_0k_kj_per_mol_fu": 163,
  "rho_g_cm3": 7.70,
  "volume_a3_per_fu": 367.8,
  "crystal_system": "orthorhombic",
  "energy_ev_per_atom": -4.517,
  "lattice_angstrom": [[10.677, 0.000, 0.000], [0.000, 2.858, 6.027], [0.000, -2.858, 6.027]],
  "species": ["Pm", "Pm", "Pm", "Sm", "Sm", "Sm", "Sm", "Er", "Er", "Er", "Er"],
  "fractional_positions": [[0.000, 0.000, 0.000], [0.291, 0.155, 0.155], [0.709, 0.155, 0.155], [0.000, 0.706, 0.706], [0.212, 0.498, 0.498], [0.500, 0.631, 0.631], [0.788, 0.498, 0.498], [0.000, 0.301, 0.301], [0.301, 0.850, 0.850], [0.500, 0.359, 0.359], [0.699, 0.850, 0.850]]
}

# 8
{
  "formula": "PmSm2Er6",
  "functional": "GGA-PBE",
  "state": "relaxed",
  "formation_enthalpy_0k_kj_per_mol_fu": 206,
  "rho_g_cm3": 8.34,
  "volume_a3_per_fu": 288.7,
  "crystal_system": "trigonal",
  "energy_ev_per_atom": -4.381,
  "relative_energy_ev_per_fu": 1.452,
  "lattice_angstrom": [[7.442, 0.000, 0.000], [-3.721, 6.445, 0.000], [0.000, 0.000, 6.019]],
  "species": ["Pm", "Sm", "Sm", "Er", "Er", "Er", "Er", "Er", "Er"],
  "fractional_positions": [[0.000, 0.000, 0.000], [0.333, 0.667, 0.788], [0.667, 0.333, 0.212], [0.187, 0.375, 0.297], [0.187, 0.813, 0.297], [0.375, 0.187, 0.703], [0.625, 0.813, 0.297], [0.813, 0.187, 0.703], [0.813, 0.625, 0.703]]
}

# 9
{
  "formula": "Pm3SmEr4",
  "functional": "GGA-PBE",
  "state": "relaxed",
  "formation_enthalpy_0k_kj_per_mol_fu": 13,
  "rho_g_cm3": 8.09,
  "volume_a3_per_fu": 257.4,
  "crystal_system": "monoclinic",
  "energy_ev_per_atom": -4.635,
  "lattice_angstrom": [[6.201, 0.000, 0.000], [0.000, 3.583, 0.000], [-2.074, 0.000, 11.585]],
  "species": ["Pm", "Pm", "Pm", "Sm", "Er", "Er", "Er", "Er"],
  "fractional_positions": [[0.000, 0.000, 0.000], [0.000, 0.500, 0.500], [0.500, 0.000, 0.500], [0.500, 0.500, 0.000], [0.250, 0.000, 0.750], [0.250, 0.500, 0.250], [0.750, 0.000, 0.250], [0.750, 0.500, 0.750]]
}

# 10
{
  "formula": "Pm12Sm2Er",
  "functional": "GGA-PBE",
  "state": "relaxed",
  "formation_enthalpy_0k_kj_per_mol_fu": 459,
  "rho_g_cm3": 6.74,
  "volume_a3_per_fu": 544.1,
  "crystal_system": "tetragonal",
  "energy_ev_per_atom": -4.417,
  "lattice_angstrom": [[6.547, 0.000, 0.000], [0.000, 6.547, 0.000], [0.000, 0.000, 25.388]],
  "species": ["Pm", "Pm", "Pm", "Pm", "Pm", "Pm", "Pm", "Pm", "Pm", "Pm", "Pm", "Pm", "Pm", "Pm", "Pm", "Pm", "Pm", "Pm", "Pm", "Pm", "Pm", "Pm", "Pm", "Pm", "Sm", "Sm", "Sm", "Sm", "Er", "Er"],
  "fractional_positions": [[0.066, 0.566, 0.113], [0.066, 0.934, 0.887], [0.082, 0.582, 0.562], [0.082, 0.918, 0.438], [0.250, 0.250, 0.214], [0.250, 0.250, 0.337], [0.250, 0.250, 0.663], [0.250, 0.250, 0.786], [0.418, 0.582, 0.438], [0.418, 0.918, 0.562], [0.434, 0.566, 0.887], [0.434, 0.934, 0.113], [0.566, 0.066, 0.887], [0.566, 0.434, 0.113], [0.582, 0.082, 0.438], [0.582, 0.418, 0.562], [0.750, 0.750, 0.214], [0.750, 0.750, 0.337], [0.750, 0.750, 0.663], [0.750, 0.750, 0.786], [0.918, 0.082, 0.562], [0.918, 0.418, 0.438], [0.934, 0.066, 0.113], [0.934, 0.434, 0.887], [0.250, 0.750, 0.269], [0.250, 0.750, 0.731], [0.750, 0.250, 0.269], [0.750, 0.250, 0.731], [0.250, 0.750, 0.000], [0.750, 0.250, 0.000]]
}

# 11
{
  "formula": "Pm5Sm2Er3",
  "functional": "GGA-PBE",
  "state": "relaxed",
  "formation_enthalpy_0k_kj_per_mol_fu": 363,
  "rho_g_cm3": 7.19,
  "volume_a3_per_fu": 352.9,
  "crystal_system": "orthorhombic",
  "energy_ev_per_atom": -4.311,
  "relative_energy_ev_per_fu": 1.878,
  "lattice_angstrom": [[-4.707, 10.946, 3.425], [4.707, -10.946, 3.425], [4.707, 10.946, -3.425]],
  "species": ["Pm", "Pm", "Pm", "Pm", "Pm", "Pm", "Pm", "Pm", "Pm", "Pm", "Sm", "Sm", "Sm", "Sm", "Er", "Er", "Er", "Er", "Er", "Er"],
  "fractional_positions": [[0.001, 0.750, 0.251], [0.125, 0.096, 0.222], [0.250, 0.250, 0.000], [0.375, 0.596, 0.971], [0.499, 0.750, 0.749], [0.501, 0.250, 0.251], [0.625, 0.404, 0.029], [0.750, 0.750, 0.000], [0.875, 0.904, 0.778], [0.999, 0.250, 0.749], [0.123, 0.403, 0.526], [0.377, 0.903, 0.280], [0.623, 0.097, 0.720], [0.877, 0.597, 0.474], [0.120, 0.748, 0.868], [0.250, 0.750, 0.500], [0.380, 0.248, 0.627], [0.620, 0.752, 0.373], [0.750, 0.250, 0.500], [0.880, 0.252, 0.132]]
}

# 12
{
  "formula": "Pm5Sm4Er3",
  "functional": "GGA-PBE",
  "state": "relaxed",
  "formation_enthalpy_0k_kj_per_mol_fu": 288,
  "rho_g_cm3": 7.57,
  "volume_a3_per_fu": 401.0,
  "crystal_system": "monoclinic",
  "energy_ev_per_atom": -4.444,
  "relative_energy_ev_per_fu": 2.813,
  "lattice_angstrom": [[6.475, -2.924, 0.000], [6.475, 2.924, 0.000], [-1.622, 0.000, 10.592]],
  "species": ["Pm", "Pm", "Pm", "Pm", "Pm", "Sm", "Sm", "Sm", "Sm", "Er", "Er", "Er"],
  "fractional_positions": [[0.000, 0.000, 0.000], [0.100, 0.100, 0.598], [0.346, 0.346, 0.568], [0.654, 0.654, 0.432], [0.900, 0.900, 0.402], [0.139, 0.139, 0.268], [0.402, 0.402, 0.242], [0.598, 0.598, 0.758], [0.861, 0.861, 0.732], [0.248, 0.248, 0.902], [0.500, 0.500, 0.000], [0.752, 0.752, 0.098]]
}